Entry 1:
Below is La3SbH3 after structural relaxation, with properties calculated at the GGA-PBE level.

Computed properties:
V = 23.360 Å³/atom
Distance to the lowest polymorph of the same formula = 0.000 eV/atom

Cell: 7.219 7.219 8.359 Å, 64.41 64.41 60.00°
Sites, in units of the cell vectors:
La: 0.236 0.569 0.291
La: 0.905 0.236 0.291
La: 0.569 0.905 0.291
La: 0.431 0.095 0.709
La: 0.095 0.764 0.709
La: 0.764 0.431 0.709
Sb: 0.334 0.334 0.999
Sb: 0.666 0.666 0.001
H: 0.461 0.786 0.624
H: 0.786 0.129 0.624
H: 0.129 0.461 0.624
H: 0.871 0.539 0.376
H: 0.214 0.871 0.376
H: 0.539 0.214 0.376

Entry 2:
Below is YAlCdSi2 after structural relaxation, with properties calculated at the GGA-PBE level.

Computed properties:
V = 33.442 Å³/atom
E_form (uncorrected) = 1.04 eV/atom

Cell: 5.340 5.865 5.340 Å, 90.00 90.00 90.00°
Sites, in units of the cell vectors:
Y: 0.000 0.000 0.000
Si: 0.000 0.000 0.500
Si: 0.500 0.000 0.000
Al: 0.500 0.500 0.500
Cd: 0.000 0.500 0.000

Entry 3:
Below is EuTmCuPt after structural relaxation, with properties calculated at the GGA-PBE level.

Computed properties:
V = 21.659 Å³/atom
ΔH_f (0 K) = -0.618 eV per atom

Cell: 4.967 4.967 4.967 Å, 60.00 60.00 60.00°
Last column: magnetic moment on the atom in μB.
Sites, in units of the cell vectors:
Eu: 0.000 0.000 0.000  6.73
Tm: 0.500 0.500 0.500  0.05
Cu: 0.250 0.250 0.250  0.01
Pt: 0.750 0.750 0.750  -0.02

Entry 4:
Below is PrHoSc after structural relaxation, with properties calculated at the GGA-PBE level.

Computed properties:
V = 30.428 Å³/atom
Distance to the lowest polymorph of the same formula = 0.031 eV/atom
ΔH_f (0 K) = 0.088 eV per atom

Cell: 3.427 5.546 5.546 Å, 120.00 90.00 90.00°
Sites, in units of the cell vectors:
Pr: 0.667 0.667 0.333
Sc: 0.167 0.333 0.667
Ho: 0.166 0.000 0.000

Entry 5:
Below is CuNCl2 after structural relaxation, with properties calculated at the GGA-PBE level.

Computed properties:
V = 14.660 Å³/atom
Distance to the lowest polymorph of the same formula = 0.648 eV/atom
E_form (uncorrected) = 1.58 eV/atom

Cell: 4.361 4.361 4.361 Å, 60.00 60.00 60.00°
Sites, in units of the cell vectors:
N: 0.000 0.000 0.000
Cu: 0.500 0.500 0.500
Cl: 0.250 0.250 0.250
Cl: 0.750 0.750 0.750

Entry 6:
Below is Ce5PrP6 after structural relaxation, with properties calculated at the GGA-PBE level.

Computed properties:
V = 24.543 Å³/atom
ΔH_f (0 K) = -1.500 eV per atom

Cell: 7.118 7.119 7.118 Å, 60.00 80.40 70.52°
Last column: magnetic moment on the atom in μB.
Sites, in units of the cell vectors:
Ce: 0.500 0.166 0.669  0.50
Ce: 0.000 0.333 0.334  0.53
Ce: 0.500 0.500 0.000  0.50
Ce: 0.000 0.667 0.666  0.53
Ce: 0.500 0.834 0.331  0.50
Pr: 0.000 0.000 0.000  0.02
P: 0.747 0.085 0.339  -0.02
P: 0.253 0.577 0.339  -0.02
P: 0.253 0.254 0.000  -0.02
P: 0.747 0.746 0.000  -0.02
P: 0.747 0.423 0.661  -0.02
P: 0.253 0.915 0.661  -0.02